Record 1
Computed, not measured: a relaxed SrGePdAu2 crystal at the PBE level of DFT.

Output
**Energy of formation**: -0.55 eV/atom
**Total magnetization**: 0.000 μB per atom

The structure in CIF format:
```
data_SrGePdAu2
_chemical_formula_sum 'Sr1 Ge1 Pd1 Au2'
_space_group_name_H-M_alt 'P 1'
_space_group_IT_number 1
_cell_length_a 6.439
_cell_length_b 6.439
_cell_length_c 6.439
_cell_angle_alpha 140.93
_cell_angle_beta 139.44
_cell_angle_gamma 57.57
loop_
_space_group_symop_operation_xyz
'x,y,z'
loop_
_atom_site_label
_atom_site_type_symbol
_atom_site_fract_x
_atom_site_fract_y
_atom_site_fract_z
Sr1 Sr 0.000 0.000 0.000
Ge1 Ge 0.371 0.371 0.000
Pd1 Pd 0.257 0.757 0.500
Au1 Au 0.596 0.596 0.000
Au2 Au 0.758 0.258 0.500
```

=====

Record 2
Computed, not measured: a relaxed SrGe2Pd5Au crystal at the PBE level of DFT.

Output
**Energy of formation**: -0.35 eV/atom
**Total magnetization**: 0.000 μB per atom

The structure in CIF format:
```
data_SrGe2Pd5Au
_chemical_formula_sum 'Sr1 Ge2 Pd5 Au1'
_space_group_name_H-M_alt 'P 1'
_space_group_IT_number 1
_cell_length_a 4.868
_cell_length_b 4.868
_cell_length_c 7.244
_cell_angle_alpha 90.00
_cell_angle_beta 90.00
_cell_angle_gamma 90.00
loop_
_space_group_symop_operation_xyz
'x,y,z'
loop_
_atom_site_label
_atom_site_type_symbol
_atom_site_fract_x
_atom_site_fract_y
_atom_site_fract_z
Sr1 Sr 0.000 0.000 0.000
Ge1 Ge 0.500 0.500 0.334
Ge2 Ge 0.500 0.500 0.666
Pd1 Pd 0.000 0.500 0.292
Pd2 Pd 0.000 0.500 0.708
Pd3 Pd 0.500 0.000 0.292
Pd4 Pd 0.500 0.000 0.708
Pd5 Pd 0.500 0.500 0.000
Au1 Au 0.000 0.000 0.500
```

=====

Record 3
Computed, not measured: a relaxed Tb2GePd4Au2 crystal at the PBE level of DFT.

Output
**Energy of formation**: -0.40 eV/atom
**Total magnetization**: 0.000 μB per atom

The structure in CIF format:
```
data_Tb2GePd4Au2
_chemical_formula_sum 'Tb2 Ge1 Pd4 Au2'
_space_group_name_H-M_alt 'P 1'
_space_group_IT_number 1
_cell_length_a 6.557
_cell_length_b 6.557
_cell_length_c 6.557
_cell_angle_alpha 124.36
_cell_angle_beta 124.36
_cell_angle_gamma 82.60
loop_
_space_group_symop_operation_xyz
'x,y,z'
loop_
_atom_site_label
_atom_site_type_symbol
_atom_site_fract_x
_atom_site_fract_y
_atom_site_fract_z
Tb1 Tb 0.213 0.213 0.000
Tb2 Tb 0.787 0.787 0.000
Ge1 Ge 0.500 0.500 0.000
Pd1 Pd 0.226 0.226 0.451
Pd2 Pd 0.226 0.774 0.000
Pd3 Pd 0.774 0.226 0.000
Pd4 Pd 0.774 0.774 0.549
Au1 Au 0.250 0.750 0.500
Au2 Au 0.750 0.250 0.500
```

=====

Record 4
Computed, not measured: a relaxed Tb2Ge4PdAu3 crystal at the PBE level of DFT.

Output
**Energy of formation**: -0.55 eV/atom
**Total magnetization**: 0.000 μB per atom

The structure in CIF format:
```
data_Tb2Ge4PdAu3
_chemical_formula_sum 'Tb2 Ge4 Pd1 Au3'
_space_group_name_H-M_alt 'P 1'
_space_group_IT_number 1
_cell_length_a 4.231
_cell_length_b 4.231
_cell_length_c 11.222
_cell_angle_alpha 90.00
_cell_angle_beta 90.00
_cell_angle_gamma 90.00
loop_
_space_group_symop_operation_xyz
'x,y,z'
loop_
_atom_site_label
_atom_site_type_symbol
_atom_site_fract_x
_atom_site_fract_y
_atom_site_fract_z
Tb1 Tb 0.000 0.500 0.229
Tb2 Tb 0.500 0.000 0.771
Ge1 Ge 0.000 0.000 0.500
Ge2 Ge 0.000 0.500 0.868
Ge3 Ge 0.500 0.000 0.132
Ge4 Ge 0.500 0.500 0.500
Pd1 Pd 0.500 0.500 0.000
Au1 Au 0.000 0.000 0.000
Au2 Au 0.000 0.500 0.646
Au3 Au 0.500 0.000 0.354
```

=====

Record 5
Computed, not measured: a relaxed GeTe2PdAu crystal at the PBE level of DFT.

Output
**Formation energy without anion corrections**: 193 kJ/mol of formula units
**Total magnetization**: 0.000 μB per atom

The structure in CIF format:
```
data_GeTe2PdAu
_chemical_formula_sum 'Ge1 Te2 Pd1 Au1'
_space_group_name_H-M_alt 'P 1'
_space_group_IT_number 1
_cell_length_a 5.398
_cell_length_b 5.398
_cell_length_c 4.660
_cell_angle_alpha 90.00
_cell_angle_beta 90.00
_cell_angle_gamma 90.00
loop_
_space_group_symop_operation_xyz
'x,y,z'
loop_
_atom_site_label
_atom_site_type_symbol
_atom_site_fract_x
_atom_site_fract_y
_atom_site_fract_z
Ge1 Ge 0.000 0.000 0.000
Te1 Te 0.000 0.500 0.500
Te2 Te 0.500 0.000 0.500
Pd1 Pd 0.000 0.000 0.500
Au1 Au 0.500 0.500 0.000
```

=====

Record 6
Computed, not measured: a relaxed ThGePdAu crystal at the PBE level of DFT.

Output
**Energy of formation**: -0.57 eV/atom
**Total magnetization**: 0.000 μB per atom

The structure in CIF format:
```
data_ThGePdAu
_chemical_formula_sum 'Th1 Ge1 Pd1 Au1'
_space_group_name_H-M_alt 'P 1'
_space_group_IT_number 1
_cell_length_a 4.930
_cell_length_b 4.930
_cell_length_c 4.930
_cell_angle_alpha 60.00
_cell_angle_beta 60.00
_cell_angle_gamma 60.00
loop_
_space_group_symop_operation_xyz
'x,y,z'
loop_
_atom_site_label
_atom_site_type_symbol
_atom_site_fract_x
_atom_site_fract_y
_atom_site_fract_z
Th1 Th 0.000 0.000 0.000
Ge1 Ge 0.500 0.500 0.500
Pd1 Pd 0.750 0.750 0.750
Au1 Au 0.250 0.250 0.250
```

=====

Record 7
Computed, not measured: a relaxed Th2Ge4Pd3Au crystal at the PBE level of DFT.

Output
**Energy of formation**: -0.74 eV/atom
**Total magnetization**: 0.000 μB per atom

The structure in CIF format:
```
data_Th2Ge4Pd3Au
_chemical_formula_sum 'Th2 Ge4 Pd3 Au1'
_space_group_name_H-M_alt 'P 1'
_space_group_IT_number 1
_cell_length_a 4.392
_cell_length_b 4.392
_cell_length_c 10.171
_cell_angle_alpha 90.00
_cell_angle_beta 90.00
_cell_angle_gamma 90.00
loop_
_space_group_symop_operation_xyz
'x,y,z'
loop_
_atom_site_label
_atom_site_type_symbol
_atom_site_fract_x
_atom_site_fract_y
_atom_site_fract_z
Th1 Th 0.000 0.500 0.248
Th2 Th 0.500 0.000 0.752
Ge1 Ge 0.000 0.000 0.000
Ge2 Ge 0.000 0.500 0.638
Ge3 Ge 0.500 0.000 0.362
Ge4 Ge 0.500 0.500 0.000
Pd1 Pd 0.000 0.500 0.878
Pd2 Pd 0.500 0.000 0.122
Pd3 Pd 0.500 0.500 0.500
Au1 Au 0.000 0.000 0.500
```

=====

Record 8
Computed, not measured: a relaxed Th2Ge3Pd4Au crystal at the PBE level of DFT.

Output
**Energy of formation**: -0.72 eV/atom
**Total magnetization**: 0.000 μB per atom

The structure in CIF format:
```
data_Th2Ge3Pd4Au
_chemical_formula_sum 'Th2 Ge3 Pd4 Au1'
_space_group_name_H-M_alt 'P 1'
_space_group_IT_number 1
_cell_length_a 4.234
_cell_length_b 4.234
_cell_length_c 10.944
_cell_angle_alpha 90.00
_cell_angle_beta 90.00
_cell_angle_gamma 90.00
loop_
_space_group_symop_operation_xyz
'x,y,z'
loop_
_atom_site_label
_atom_site_type_symbol
_atom_site_fract_x
_atom_site_fract_y
_atom_site_fract_z
Th1 Th 0.000 0.500 0.249
Th2 Th 0.500 0.000 0.751
Ge1 Ge 0.000 0.500 0.875
Ge2 Ge 0.500 0.000 0.125
Ge3 Ge 0.500 0.500 0.500
Pd1 Pd 0.000 0.000 0.000
Pd2 Pd 0.000 0.500 0.653
Pd3 Pd 0.500 0.000 0.347
Pd4 Pd 0.500 0.500 0.000
Au1 Au 0.000 0.000 0.500
```

=====

Record 9
Computed, not measured: a relaxed TiGePdAu crystal at the PBE level of DFT.

Output
**Energy of formation**: -0.38 eV/atom
**Total magnetization**: 0.000 μB per atom

The structure in CIF format:
```
data_TiGePdAu
_chemical_formula_sum 'Ti1 Ge1 Pd1 Au1'
_space_group_name_H-M_alt 'P 1'
_space_group_IT_number 1
_cell_length_a 4.518
_cell_length_b 4.518
_cell_length_c 4.518
_cell_angle_alpha 60.00
_cell_angle_beta 60.00
_cell_angle_gamma 60.00
loop_
_space_group_symop_operation_xyz
'x,y,z'
loop_
_atom_site_label
_atom_site_type_symbol
_atom_site_fract_x
_atom_site_fract_y
_atom_site_fract_z
Ti1 Ti 0.000 0.000 0.000
Ge1 Ge 0.750 0.750 0.750
Pd1 Pd 0.500 0.500 0.500
Au1 Au 0.250 0.250 0.250
```

=====

Record 10
Computed, not measured: a relaxed TmGePdAu crystal at the PBE level of DFT.

Output
**Energy of formation**: -0.64 eV/atom
**Total magnetization**: 0.000 μB per atom

The structure in CIF format:
```
data_TmGePdAu
_chemical_formula_sum 'Tm1 Ge1 Pd1 Au1'
_space_group_name_H-M_alt 'P 1'
_space_group_IT_number 1
_cell_length_a 4.756
_cell_length_b 4.756
_cell_length_c 4.756
_cell_angle_alpha 60.00
_cell_angle_beta 60.00
_cell_angle_gamma 60.00
loop_
_space_group_symop_operation_xyz
'x,y,z'
loop_
_atom_site_label
_atom_site_type_symbol
_atom_site_fract_x
_atom_site_fract_y
_atom_site_fract_z
Tm1 Tm 0.000 0.000 0.000
Ge1 Ge 0.500 0.500 0.500
Pd1 Pd 0.250 0.250 0.250
Au1 Au 0.750 0.750 0.750
```

=====

Record 11
Computed, not measured: a relaxed Y2Ge4Pd3Au crystal at the PBE level of DFT.

Output
**Energy of formation**: -0.71 eV/atom
**Total magnetization**: 0.000 μB per atom

The structure in CIF format:
```
data_Y2Ge4Pd3Au
_chemical_formula_sum 'Y2 Ge4 Pd3 Au1'
_space_group_name_H-M_alt 'P 1'
_space_group_IT_number 1
_cell_length_a 4.286
_cell_length_b 4.286
_cell_length_c 10.403
_cell_angle_alpha 90.00
_cell_angle_beta 90.00
_cell_angle_gamma 90.00
loop_
_space_group_symop_operation_xyz
'x,y,z'
loop_
_atom_site_label
_atom_site_type_symbol
_atom_site_fract_x
_atom_site_fract_y
_atom_site_fract_z
Y1 Y 0.000 0.500 0.248
Y2 Y 0.500 0.000 0.752
Ge1 Ge 0.000 0.000 0.500
Ge2 Ge 0.000 0.500 0.860
Ge3 Ge 0.500 0.000 0.140
Ge4 Ge 0.500 0.500 0.500
Pd1 Pd 0.000 0.000 0.000
Pd2 Pd 0.000 0.500 0.628
Pd3 Pd 0.500 0.000 0.372
Au1 Au 0.500 0.500 0.000
```

=====

Record 12
Computed, not measured: a relaxed Y2GePd4Au2 crystal at the PBE level of DFT.

Output
**Energy of formation**: -0.40 eV/atom
**Total magnetization**: 0.000 μB per atom

The structure in CIF format:
```
data_Y2GePd4Au2
_chemical_formula_sum 'Y2 Ge1 Pd4 Au2'
_space_group_name_H-M_alt 'P 1'
_space_group_IT_number 1
_cell_length_a 6.549
_cell_length_b 6.549
_cell_length_c 6.549
_cell_angle_alpha 124.29
_cell_angle_beta 124.29
_cell_angle_gamma 82.71
loop_
_space_group_symop_operation_xyz
'x,y,z'
loop_
_atom_site_label
_atom_site_type_symbol
_atom_site_fract_x
_atom_site_fract_y
_atom_site_fract_z
Y1 Y 0.214 0.214 0.000
Y2 Y 0.786 0.786 0.000
Ge1 Ge 0.500 0.500 0.000
Pd1 Pd 0.226 0.226 0.451
Pd2 Pd 0.226 0.774 0.000
Pd3 Pd 0.774 0.226 0.000
Pd4 Pd 0.774 0.774 0.549
Au1 Au 0.250 0.750 0.500
Au2 Au 0.750 0.250 0.500
```